Entry 1:
First-principles (PBE) data for a relaxed KLiNbSe2 crystal, as listed in Alexandria.

a = 5.550 Å, b = 4.190 Å, c = 5.550 Å
α = 90.00°, β = 90.00°, γ = 90.00°
Site moments in Bohr magnetons follow the coordinates.
Sites, in units of the cell vectors:
K: 0.000 0.000 0.000  0.01
Se: 0.000 0.000 0.500  -0.10
Se: 0.500 0.000 0.000  -0.12
Nb: 0.500 0.500 0.500  2.53
Li: 0.000 0.500 0.000  0.01

Results
E_form (uncorrected)   0.77 eV per atom
SG   P4/mmm (123)


Entry 2:
First-principles (PBE) data for a relaxed KLi2NbZn crystal, as listed in Alexandria.

a = 5.056 Å, b = 5.785 Å, c = 5.056 Å
α = 90.00°, β = 90.00°, γ = 90.00°
Site moments in Bohr magnetons follow the coordinates.
Sites, in units of the cell vectors:
Nb: 0.500 0.500 0.500  3.01
Zn: 0.000 0.000 0.000  -0.01
Li: 0.500 0.000 0.000  -0.01
Li: 0.000 0.000 0.500  0.00
K: 0.000 0.500 0.000  0.04

Results
Calculated formation energy   1.097 eV per atom
SG   P4/mmm (123)


Entry 3:
First-principles (PBE) data for a relaxed KLiNd2Se4 crystal, as listed in Alexandria.

a = 4.313 Å, b = 7.496 Å, c = 14.911 Å
α = 90.00°, β = 90.00°, γ = 106.72°
Sites, in units of the cell vectors:
Se: 0.264 0.529 0.388
Se: 0.736 0.471 0.888
Se: 0.736 0.471 0.612
Se: 0.570 0.140 0.250
Se: 0.430 0.860 0.750
Se: 0.000 0.000 0.500
Se: 0.264 0.529 0.112
Se: 0.000 0.000 0.000
Nd: 0.366 0.732 0.562
Nd: 0.366 0.732 0.938
Nd: 0.634 0.268 0.062
Nd: 0.634 0.268 0.438
Li: 0.163 0.325 0.250
Li: 0.837 0.675 0.750
K: 0.108 0.216 0.750
K: 0.892 0.784 0.250

Results
E_form (uncorrected)   -1.71 eV per atom
SG   Cmcm (63)


Entry 4:
First-principles (PBE) data for a relaxed K2LiNi crystal, as listed in Alexandria.

a = 5.481 Å, b = 5.481 Å, c = 5.481 Å
α = 60.00°, β = 60.00°, γ = 60.00°
Sites, in units of the cell vectors:
K: 0.000 0.000 0.000
K: 0.750 0.750 0.750
Ni: 0.250 0.250 0.250
Li: 0.500 0.500 0.500

Results
Calculated formation energy   0.576 eV per atom
SG   F-43m (216)


Entry 5:
First-principles (PBE) data for a relaxed KLiNi crystal, as listed in Alexandria.

a = 4.981 Å, b = 4.981 Å, c = 4.981 Å
α = 60.00°, β = 60.00°, γ = 60.00°
Site moments in Bohr magnetons follow the coordinates.
Sites, in units of the cell vectors:
Li: 0.000 0.000 0.000  -0.01
K: 0.750 0.750 0.750  -0.01
Ni: 0.500 0.500 0.500  0.30

Results
Calculated formation energy   1.026 eV per atom
SG   F-43m (216)


Entry 6:
First-principles (PBE) data for a relaxed KLi2Ni crystal, as listed in Alexandria.

a = 5.497 Å, b = 5.497 Å, c = 8.708 Å
α = 71.60°, β = 71.60°, γ = 90.00°
Sites, in units of the cell vectors:
K: 0.250 0.750 0.500
K: 0.500 0.500 0.000
Ni: 0.000 0.000 0.000
Ni: 0.750 0.250 0.500
Li: 0.375 0.125 0.750
Li: 0.875 0.125 0.250
Li: 0.875 0.625 0.250
Li: 0.875 0.125 0.750

Results
Calculated formation energy   0.512 eV per atom
SG   I4_1/amd (141)


Ordered uncorrected energy results: -16.2 -10.8 -80.3 -7.6 -5.7 -17.3; unit eV for the cell shown.